SmAgGeTeS2 PBE relaxed; crystal system = orthorhombic; calculated density = 5.7 g/cm³; spin magnetization = 0.001 μB/atom; raw total energy = -55.73 eV/cell
1.0
-3.9855 1.7594 5.4698
0.1960 -1.7616 -6.7644
-0.9524 -10.8803 2.8058
Ag Ge S Sm Te
2 2 4 2 2
Direct
0.5157 0.4843 0.2500
0.4843 0.5157 0.7500
0.2020 0.7980 0.2500
0.7980 0.2020 0.7500
0.6320 0.3680 0.0755
0.6320 0.3680 0.4245
0.3680 0.6320 0.5755
0.3680 0.6320 0.9245
0.0000 0.0000 0.0000
0.0000 0.0000 0.5000
0.8689 0.1311 0.2500
0.1311 0.8689 0.7500